[1]
A relaxed GdInHgPb crystal. Source: Alexandria, functional PBE-GGA.

Values from the calculation:
- Magnetic moment: 1.776 μB/atom
- N(E_F): 14.45 states/eV per cell

Cell: 7.583 7.583 7.583 Å, 90.00 90.00 90.00°
Sites, in units of the cell vectors:
Gd  0.000  0.000  0.000
Gd  0.000  0.500  0.500
Gd  0.500  0.000  0.500
Gd  0.500  0.500  0.000
In  0.000  0.000  0.500
In  0.000  0.500  0.000
In  0.500  0.000  0.000
In  0.500  0.500  0.500
Hg  0.250  0.250  0.250
Hg  0.250  0.750  0.750
Hg  0.750  0.250  0.750
Hg  0.750  0.750  0.250
Pb  0.250  0.250  0.750
Pb  0.250  0.750  0.250
Pb  0.750  0.250  0.250
Pb  0.750  0.750  0.750


[2]
A relaxed GdInHgPd crystal. Source: Alexandria, functional PBE-GGA.

Values from the calculation:
- Magnetic moment: 1.774 μB/atom
- N(E_F): 6.81 states/eV per cell

Cell: 7.055 7.055 7.055 Å, 90.00 90.00 90.00°
Sites, in units of the cell vectors:
Gd  0.000  0.000  0.000
Gd  0.000  0.500  0.500
Gd  0.500  0.000  0.500
Gd  0.500  0.500  0.000
In  0.000  0.000  0.500
In  0.000  0.500  0.000
In  0.500  0.000  0.000
In  0.500  0.500  0.500
Hg  0.250  0.250  0.750
Hg  0.250  0.750  0.250
Hg  0.750  0.250  0.250
Hg  0.750  0.750  0.750
Pd  0.250  0.250  0.250
Pd  0.250  0.750  0.750
Pd  0.750  0.250  0.750
Pd  0.750  0.750  0.250


[3]
A relaxed GdInHgPt crystal. Source: Alexandria, functional PBE-GGA.

Values from the calculation:
- Magnetic moment: 1.765 μB/atom
- N(E_F): 8.09 states/eV per cell

Cell: 7.052 7.052 7.052 Å, 90.00 90.00 90.00°
Sites, in units of the cell vectors:
Gd  0.000  0.000  0.000
Gd  0.000  0.500  0.500
Gd  0.500  0.000  0.500
Gd  0.500  0.500  0.000
In  0.000  0.000  0.500
In  0.000  0.500  0.000
In  0.500  0.000  0.000
In  0.500  0.500  0.500
Hg  0.250  0.250  0.750
Hg  0.250  0.750  0.250
Hg  0.750  0.250  0.250
Hg  0.750  0.750  0.750
Pt  0.250  0.250  0.250
Pt  0.250  0.750  0.750
Pt  0.750  0.250  0.750
Pt  0.750  0.750  0.250


[4]
A relaxed GdInHgRh crystal. Source: Alexandria, functional PBE-GGA.

Values from the calculation:
- Magnetic moment: 1.777 μB/atom
- N(E_F): 10.45 states/eV per cell

Cell: 7.001 7.001 7.001 Å, 90.00 90.00 90.00°
Sites, in units of the cell vectors:
Gd  0.000  0.000  0.000
Gd  0.000  0.500  0.500
Gd  0.500  0.000  0.500
Gd  0.500  0.500  0.000
In  0.000  0.000  0.500
In  0.000  0.500  0.000
In  0.500  0.000  0.000
In  0.500  0.500  0.500
Hg  0.250  0.250  0.750
Hg  0.250  0.750  0.250
Hg  0.750  0.250  0.250
Hg  0.750  0.750  0.750
Rh  0.250  0.250  0.250
Rh  0.250  0.750  0.750
Rh  0.750  0.250  0.750
Rh  0.750  0.750  0.250


[5]
A relaxed SrGdInHg crystal. Source: Alexandria, functional PBE-GGA.

Values from the calculation:
- Magnetic moment: 1.778 μB/atom
- N(E_F): 16.15 states/eV per cell

Cell: 7.818 7.818 7.818 Å, 90.00 90.00 90.00°
Sites, in units of the cell vectors:
Sr  0.000  0.000  0.000
Sr  0.000  0.500  0.500
Sr  0.500  0.000  0.500
Sr  0.500  0.500  0.000
Gd  0.000  0.000  0.500
Gd  0.000  0.500  0.000
Gd  0.500  0.000  0.000
Gd  0.500  0.500  0.500
In  0.250  0.250  0.250
In  0.250  0.750  0.750
In  0.750  0.250  0.750
In  0.750  0.750  0.250
Hg  0.250  0.250  0.750
Hg  0.250  0.750  0.250
Hg  0.750  0.250  0.250
Hg  0.750  0.750  0.750


[6]
A relaxed GdTiInHg crystal. Source: Alexandria, functional PBE-GGA.

Values from the calculation:
- Magnetic moment: 2.199 μB/atom
- N(E_F): 17.32 states/eV per cell

Cell: 7.204 7.204 7.204 Å, 90.00 90.00 90.00°
Sites, in units of the cell vectors:
Gd  0.000  0.000  0.000
Gd  0.000  0.500  0.500
Gd  0.500  0.000  0.500
Gd  0.500  0.500  0.000
Ti  0.000  0.000  0.500
Ti  0.000  0.500  0.000
Ti  0.500  0.000  0.000
Ti  0.500  0.500  0.500
In  0.250  0.250  0.750
In  0.250  0.750  0.250
In  0.750  0.250  0.250
In  0.750  0.750  0.750
Hg  0.250  0.250  0.250
Hg  0.250  0.750  0.750
Hg  0.750  0.250  0.750
Hg  0.750  0.750  0.250


What are the formation enthalpy at 0 K values for these records? In order: -0.24 -0.56 -0.62 -0.41 -0.45 -0.18 eV per atom.